Version one
Computed, not measured: a relaxed Nd4Ho2Tm5 crystal at the PBE level of DFT.

a = 5.6335 Å, b = 6.5962 Å, c = 9.9474 Å
α = 90.83°, β = 106.45°, γ = 90.00°
Closest atoms and distances in Å follow each position.
Fractional coordinates of all 11 atoms:
1 Nd 0.3063 0.9263 0.6125  6 Tm 3.30-3.67, 2 Nd 3.68, 1 Ho 3.69
2 Nd 0.9783 0.7145 0.9566  1 Nd 2.96, 1 Tm 3.10
3 Nd 0.6937 0.0737 0.3875  6 Tm 3.30-3.67, 2 Nd 3.68, 1 Ho 3.69
4 Nd 0.0217 0.2855 0.0434  1 Nd 2.96, 1 Tm 3.10
5 Ho 0.4013 0.4438 0.8025  6 Tm 3.51-3.67, 6 Nd 3.63-3.84, 1 Ho 3.83
6 Ho 0.5987 0.5562 0.1975  6 Tm 3.51-3.67, 6 Nd 3.63-3.84, 1 Ho 3.83
7 Tm 0.7907 0.5982 0.5814  4 Tm 3.46-3.70, 4 Nd 3.56-3.67, 3 Ho 3.67
8 Tm 0.2093 0.4018 0.4186  4 Tm 3.46-3.70, 4 Nd 3.56-3.67, 3 Ho 3.67
9 Tm 0.8694 0.1139 0.7389  5 Nd 3.10-3.38
10 Tm 0.5000 0.0000 0.0000  6 Nd 3.41-3.72, 2 Ho 3.51
11 Tm 0.1306 0.8861 0.2611  5 Nd 3.10-3.38

Results
The size of the total moment is 0.0000 μB/atom. The calculation puts the volume at 354.47 Å³/cell. The space group is C2/m (12).

***

Version two
Computed, not measured: a relaxed Nd4Ho2Tm5 crystal at the PBE level of DFT.

a = 3.5750 Å, b = 8.6239 Å, c = 11.6639 Å
α = 89.12°, β = 98.82°, γ = 90.00°
Closest atoms and distances in Å follow each position.
Fractional coordinates of all 11 atoms:
1 Nd 0.5460 0.6297 0.0920  1 Nd 3.11, 2 Tm 3.35-3.38
2 Nd 0.8684 0.1081 0.7368  3 Ho 3.48-3.61, 4 Nd 3.51-3.58, 5 Tm 3.54-3.63
3 Nd 0.4540 0.3703 0.9080  1 Nd 3.11, 2 Tm 3.35-3.38
4 Nd 0.1316 0.8919 0.2632  3 Ho 3.48-3.61, 4 Nd 3.51-3.58, 5 Tm 3.54-3.63
5 Ho 0.2815 0.8327 0.5629  5 Tm 3.46-3.62, 3 Nd 3.48-3.61, 4 Ho 3.58-3.67
6 Ho 0.7185 0.1673 0.4371  5 Tm 3.46-3.62, 3 Nd 3.48-3.61, 4 Ho 3.58-3.67
7 Tm 0.3090 0.4373 0.6181  3 Nd 3.38-3.61, 6 Tm 3.42-3.77, 3 Ho 3.46-3.62
8 Tm 0.6910 0.5627 0.3819  3 Nd 3.38-3.61, 6 Tm 3.42-3.77, 3 Ho 3.46-3.62
9 Tm 0.0912 0.2892 0.1823  5 Nd 3.54-3.69, 6 Tm 3.58-3.77, 2 Ho 3.58
10 Tm 0.5000 0.0000 0.0000  6 Nd 3.35-3.63, 6 Tm 3.58-3.74
11 Tm 0.9088 0.7108 0.8177  5 Nd 3.54-3.69, 6 Tm 3.58-3.77, 2 Ho 3.58

Results
The size of the total moment is 0.0000 μB/atom. The calculation puts the volume at 355.32 Å³/cell. The space group is C2/m (12).

***

Which structure is the least stable? The one labeled version one.